(1)
The following is a PBE-GGA calculation of La2Cd2Hg after structural relaxation, from Alexandria via LeMat-Bulk.

abc: 5.0937 6.2656 10.3464
angles: 97.05 75.75 66.02
With the nearest neighbours (Å) after each atom.
Fractional positions:
Cd1 0.0161 0.3613 0.6065  2 Hg 2.96, 2 Cd 2.97-3.21
Cd2 0.3453 0.1727 0.1367  2 Cd 2.95-3.21, 1 Hg 2.97
Cd3 0.9839 0.6387 0.3935  2 Hg 2.96, 2 Cd 2.97-3.21
Cd4 0.6547 0.8273 0.8633  2 Cd 2.95-3.21, 1 Hg 2.97
Hg1 0.5511 0.1962 0.7015  3 Cd 2.96-2.97
Hg2 0.4489 0.8038 0.2985  3 Cd 2.96-2.97
La1 0.8990 0.2752 0.9268  2 Hg 3.36, 6 Cd 3.37-3.56, 3 La 3.59-3.66
La2 0.6976 0.2422 0.3627  7 Cd 3.37-3.55, 4 Hg 3.43-3.52, 2 La 3.49-3.59
La3 0.3024 0.7578 0.6373  7 Cd 3.37-3.55, 4 Hg 3.43-3.52, 2 La 3.49-3.59
La4 0.1010 0.7248 0.0732  2 Hg 3.36, 6 Cd 3.37-3.56, 3 La 3.59-3.66

## Properties
* energy above the most stable polymorph in this dataset: 0 meV/atom
* formation energy from the elements: -357 meV/atom
* density: 8252 kg/m3
* M_tot: 0.000 Bohr magnetons per cell
* DOS at the Fermi energy: 4.7 states/eV/f.u.

=====

(2)
The following is a PBE-GGA calculation of LiMnFe2C after structural relaxation, from Alexandria via LeMat-Bulk.

abc: 3.7620 3.7620 3.9368
angles: 90.00 90.00 90.00
With the nearest neighbours (Å) after each atom.
Fractional positions:
Li1 0.5000 0.5000 0.5000  4 Mn 2.66, 8 Fe 2.72
C1 0.0000 0.0000 0.0000  4 Fe 1.88, 2 Mn 1.97
Fe1 0.5000 0.0000 0.0000  2 C 1.88
Fe2 0.0000 0.5000 0.0000  2 C 1.88
Mn1 0.0000 0.0000 0.5000  2 C 1.97

## Properties
* formation energy from the elements: 108 meV/atom
* density: 5531 kg/m3
* M_tot: 5.975 Bohr magnetons per cell
* DOS at the Fermi energy: 3.7 states/eV/f.u.

=====

(3)
The following is a PBE-GGA calculation of K2Sn3PbAu4 after structural relaxation, from Alexandria via LeMat-Bulk.

abc: 5.0493 5.0493 10.8465
angles: 90.00 90.00 90.00
With the nearest neighbours (Å) after each atom.
Fractional positions:
Au1 0.0000 0.0000 0.0000  4 Sn 2.80
Au2 0.0000 0.5000 0.3658  3 Sn 2.75-2.91, 2 Pb 2.91
Au3 0.5000 0.0000 0.6342  3 Sn 2.75-2.91, 2 Pb 2.91
Au4 0.5000 0.5000 0.0000  4 Sn 2.80
Sn1 0.0000 0.0000 0.5000  4 Au 2.91
Sn2 0.0000 0.5000 0.1122  5 Au 2.75-2.80
Sn3 0.5000 0.0000 0.8878  5 Au 2.75-2.80
K1 0.0000 0.5000 0.7586  8 Au 3.64-3.82, 7 Sn 3.77-3.84, 2 Pb 3.77
K2 0.5000 0.0000 0.2414  8 Au 3.64-3.82, 2 Pb 3.77, 7 Sn 3.77-3.84
Pb1 0.5000 0.5000 0.5000  4 Au 2.91

## Properties
* formation energy from the elements: -280 meV/atom
* density: 8583 kg/m3
* M_tot: 0.000 Bohr magnetons per cell
* DOS at the Fermi energy: 5.3 states/eV/f.u.

=====

(4)
The following is a PBE-GGA calculation of CrTe3 after structural relaxation, from Alexandria via LeMat-Bulk.

abc: 3.6520 7.7466 8.2378
angles: 90.00 90.00 90.00
With the nearest neighbours (Å) after each atom.
Fractional positions:
Te1 0.0000 0.3247 0.3135  3 Cr 2.83-2.85, 1 Te 3.07
Te2 0.5000 0.6753 0.8135  3 Cr 2.83-2.85, 1 Te 3.07
Te3 0.0000 0.7738 0.5000  2 Cr 2.68
Te4 0.5000 0.2262 0.0000  2 Cr 2.68
Te5 0.5000 0.6753 0.1865  3 Cr 2.83-2.85, 1 Te 3.07
Te6 0.0000 0.3247 0.6865  3 Cr 2.83-2.85, 1 Te 3.07
Cr1 0.5000 0.5209 0.5000  8 Te 2.68-2.85
Cr2 0.0000 0.4791 0.0000  8 Te 2.68-2.85

## Properties
* density: 6196 kg/m3
* M_tot: 2.718 Bohr magnetons per cell
* DOS at the Fermi energy: 1.7 states/eV/f.u.
* raw formation energy: -0.009 eV per atom